Co3BO: relaxed, PBE with a Hubbard U.

```
5
Lattice="3.7972 0.0000 0.0000 0.0000 3.7972 0.0000 0.0000 0.0000 3.7972" Properties=species:S:1:pos:R:3 pbc="T T T"
B 1.8986 1.8986 1.8986
Co 0.0000 1.8986 0.0000
Co 0.0000 0.0000 1.8986
Co 1.8986 0.0000 0.0000
O 0.0000 0.0000 0.0000
```

Summary:
Excess energy over the best structure of this formula in the dataset in eV/atom: 0.0000